Entry 1:
A crystal of NdLuO3 relaxed with PBEsol. Source: Alexandria via LeMat-Bulk, functional meta-GGA SCAN.

Computed properties:
* crystal system: orthorhombic
* symmetry: No. 62
* formation energy from raw total energies: -3.8812 eV per atom

The structure in extended XYZ format:
```
20
Lattice="5.6701 0.0000 0.0000 0.0000 5.9180 0.0000 0.0000 0.0000 8.2248" Properties=species:S:1:pos:R:3 pbc="T T T"
Nd 5.5614 3.2941 6.1686
Nd 0.1086 2.6238 2.0562
Nd 2.9437 0.3352 6.1686
Nd 2.7264 5.5828 2.0562
O 1.1007 4.1221 3.5515
O 3.5605 3.2904 2.0562
O 1.1007 4.1221 0.5609
O 1.7344 1.1631 3.5515
O 1.7344 1.1631 0.5609
O 2.1095 2.6276 6.1686
O 4.5694 1.7959 7.6639
O 3.9357 4.7549 7.6639
O 0.7255 5.5866 6.1686
O 4.5694 1.7959 4.6733
O 3.9357 4.7549 4.6733
O 4.9446 0.3314 2.0562
Lu 0.0000 0.0000 4.1124
Lu 0.0000 0.0000 0.0000
Lu 2.8350 2.9590 0.0000
Lu 2.8350 2.9590 4.1124
```

Entry 2:
A crystal of NdLu3S6 relaxed with PBEsol. Source: Alexandria via LeMat-Bulk, functional meta-GGA SCAN.

Computed properties:
* crystal system: monoclinic
* symmetry: No. 11
* formation energy from raw total energies: -2.3657 eV per atom

The structure in extended XYZ format:
```
20
Lattice="3.8647 0.0000 0.0000 0.0000 10.7619 -0.0117 0.0000 -3.5877 10.4483" Properties=species:S:1:pos:R:3 pbc="T T T"
S 0.9662 7.4328 2.3815
S 0.9662 -2.9713 9.2690
S 2.8985 10.1455 1.1676
S 2.8985 2.3596 6.1850
S 0.9662 -0.4345 4.6322
S 2.8985 3.2228 10.0717
S 2.8985 7.6086 5.8044
S 0.9662 4.8145 4.2516
S 2.8985 2.3436 2.6178
S 0.9662 4.8305 7.8188
S 0.9662 3.9513 0.3649
S 2.8985 -0.2586 8.0551
Lu 0.9662 5.2449 10.4287
Lu 0.9662 2.1722 4.3118
Lu 2.8985 1.9292 0.0079
Lu 0.9662 -1.7773 6.9650
Lu 2.8985 8.9514 3.4716
Lu 2.8985 5.0019 6.1248
Nd 0.9662 1.9579 8.3842
Nd 2.8985 5.2163 2.0524
```

Entry 3:
A crystal of NdLuS3 relaxed with PBEsol. Source: Alexandria via LeMat-Bulk, functional meta-GGA SCAN.

Computed properties:
* crystal system: orthorhombic
* symmetry: No. 63
* formation energy from raw total energies: -2.3839 eV per atom

The structure in extended XYZ format:
```
10
Lattice="-0.3245 -0.2676 3.7975 -5.7471 -1.5712 -2.5238 2.6340 -8.9801 -0.4076" Properties=species:S:1:pos:R:3 pbc="T T T"
S -0.6967 -4.5488 1.5420
S -2.7409 -6.2700 -0.6760
S -1.7534 -9.6367 -0.8288
S -4.4029 -3.7923 1.2786
S -1.6842 -1.1821 1.6948
S 0.9653 -7.0265 -0.4126
Nd -1.1068 -7.7113 1.2841
Nd -2.3308 -3.1075 -0.4181
Lu 1.3170 -4.4900 -0.2038
Lu 0.0000 0.0000 0.0000
```

Entry 4:
A crystal of Nd4Lu11S22 relaxed with PBEsol. Source: Alexandria via LeMat-Bulk, functional meta-GGA SCAN.

Computed properties:
* crystal system: monoclinic
* symmetry: No. 12
* formation energy from raw total energies: -2.3743 eV per atom

The structure in extended XYZ format:
```
37
Lattice="3.8401 0.0000 0.0000 0.0000 11.0861 -0.0089 -1.9200 -0.4808 19.0316" Properties=species:S:1:pos:R:3 pbc="T T T"
S 0.0000 8.3342 15.4946
S 1.9200 9.9008 5.7126
S 1.9200 2.2711 3.5282
S 1.9200 5.5948 2.1687
S 1.9200 2.3114 15.7106
S 1.9200 10.7201 1.7730
S 0.0000 1.5076 6.4462
S 1.9200 3.1305 11.8401
S 0.0000 0.7045 13.3102
S 0.0000 6.2722 10.6578
S 0.0000 4.8672 5.1608
S 1.9200 4.3331 8.3650
S 0.0000 5.0105 16.8540
S 0.0000 1.0892 9.6828
S 1.9200 5.7380 13.8620
S 0.0000 7.4748 7.1827
S 0.0000 -0.1148 17.2498
S 1.9200 9.0977 12.5766
S 0.0000 8.2939 3.3122
S 1.9200 9.5161 9.3400
S 1.9200 7.9568 18.7035
S 0.0000 2.6485 0.3193
Lu 1.9200 6.9508 8.9743
Lu 0.0000 3.9271 2.6754
Lu 0.0000 10.2347 7.6963
Lu 1.9200 0.3706 11.3265
Lu 1.9200 3.1740 6.0107
Lu 0.0000 3.6545 10.0484
Lu 1.9200 8.0758 1.4486
Lu 0.0000 7.4313 13.0121
Lu 1.9200 6.6782 16.3474
Lu 0.0000 0.0000 0.0000
Lu 0.0000 2.5295 17.5742
Nd 0.0000 3.5443 13.9950
Nd 1.9200 10.5550 15.0398
Nd 0.0000 0.0503 3.9829
Nd 1.9200 7.0610 5.0278
```

Entry 5:
A crystal of LuNi2 relaxed with PBEsol. Source: Alexandria via LeMat-Bulk, functional meta-GGA SCAN.

Computed properties:
* DFT formation energy: -0.552 eV/atom
* crystal system: cubic
* symmetry: No. 227

The structure in extended XYZ format:
```
6
Lattice="-1.6760 -3.3901 3.1302 -2.6009 -3.8129 -1.6725 1.9554 -4.5028 0.0198" Properties=species:S:1:pos:R:3 pbc="T T T"
Ni -1.4509 -7.3161 0.9234
Ni -0.1504 -5.4097 1.7597
Ni -0.6129 -5.6211 -0.6417
Ni -2.4286 -5.0647 0.9135
Lu -0.5803 -2.9265 0.3694
Lu 0.0000 0.0000 0.0000
```

Entry 6:
A crystal of LuNi relaxed with PBEsol. Source: Alexandria via LeMat-Bulk, functional meta-GGA SCAN.

Computed properties:
* DFT formation energy: -0.546 eV/atom
* crystal system: orthorhombic
* symmetry: No. 62

The structure in extended XYZ format:
```
8
Lattice="4.0133 0.0000 0.0000 0.0000 5.2473 0.0000 0.0000 0.0000 6.7678" Properties=species:S:1:pos:R:3 pbc="T T T"
Lu 1.0033 4.5470 5.5513
Lu 3.0100 1.9234 4.6003
Lu 3.0100 0.7003 1.2164
Lu 1.0033 3.3239 2.1674
Ni 1.0033 1.9472 6.5186
Ni 3.0100 4.5708 3.6330
Ni 1.0033 0.6765 3.1347
Ni 3.0100 3.3001 0.2492
```

The following E values (in eV/atom) correspond, in order, to the records above: -27.405 -29.104 -27.946 -29.264 -29.782 -36.305.